# Fe2Co2Ir15 PBE-GGA relaxed
data_Fe2Co2Ir15
_cell_length_a 8.8807
_cell_length_b 8.8807
_cell_length_c 13.3777
_cell_angle_alpha 90.00
_cell_angle_beta 90.00
_cell_angle_gamma 120.00
_symmetry_space_group_name_H-M 'R -3 m'
_symmetry_Int_Tables_number 166
_symmetry_space_group_name_Hall '-R 3 2"'
loop_
_atom_site_label
_atom_site_fract_x
_atom_site_fract_y
_atom_site_fract_z
Fe1 0.0000 0.0000 0.0955
Co1 0.0000 0.0000 0.2724
Ir1 0.0000 0.3001 0.0000
Ir2 0.0000 0.5000 0.5000
Ir3 0.0006 0.5003 0.1458
# Energy of formation from the pure elements, meV/atom: 457
# Crystal system: trigonal


# Tm5Sn5H2 PBE-GGA relaxed
data_Tm5Sn5H2
_cell_length_a 11.167
_cell_length_b 4.294
_cell_length_c 11.159
_cell_angle_alpha 90.00
_cell_angle_beta 92.24
_cell_angle_gamma 90.00
_symmetry_space_group_name_H-M 'C 1 2/m 1'
_symmetry_Int_Tables_number 12
loop_
_symmetry_equiv_pos_as_xyz
'x,y,z'
'-x,-y,-z'
'-x,y,-z'
'x,-y,z'
'x+1/2,y+1/2,z'
'-x+1/2,-y+1/2,-z'
'-x+1/2,y+1/2,-z'
'x+1/2,-y+1/2,z'
loop_
_atom_site_label
_atom_site_fract_x
_atom_site_fract_y
_atom_site_fract_z
Tm1 0.000 0.000 0.000
Tm2 0.067 0.000 0.318
Tm3 0.151 0.500 0.813
Sn1 0.000 0.500 0.500
Sn2 0.150 0.500 0.122
Sn3 0.219 0.000 0.605
H1 0.076 0.000 0.823
# Crystal system: monoclinic


# Dy8SiGe3Te4 PBE-GGA relaxed
data_Dy8SiGe3Te4
_cell_length_a 8.4727
_cell_length_b 8.4727
_cell_length_c 21.2670
_cell_angle_alpha 90.00
_cell_angle_beta 90.00
_cell_angle_gamma 120.00
_symmetry_space_group_name_H-M 'R -3 m'
_symmetry_Int_Tables_number 166
_symmetry_space_group_name_Hall '-R 3 2"'
loop_
_atom_site_label
_atom_site_fract_x
_atom_site_fract_y
_atom_site_fract_z
Dy1 0.0000 0.0000 0.2400
Dy2 0.0011 0.5006 0.2399
Si1 0.0000 0.0000 0.5000
Ge1 0.0000 0.5000 0.5000
Te1 0.0000 0.0000 0.0000
Te2 0.0000 0.5000 0.0000
# Crystal system: trigonal
# Formation energy from raw total energies, eV per atom: -1.164


# NaMgO2F PBE-GGA relaxed
data_NaMgO2F
_cell_length_a 4.013
_cell_length_b 4.013
_cell_length_c 4.035
_cell_angle_alpha 90.00
_cell_angle_beta 90.00
_cell_angle_gamma 90.00
_symmetry_space_group_name_H-M 'P 4/m m m'
_symmetry_Int_Tables_number 123
_symmetry_space_group_name_Hall '-P 4 2'
loop_
_atom_site_label
_atom_site_fract_x
_atom_site_fract_y
_atom_site_fract_z
Na1 0.000 0.000 0.000
Mg1 0.500 0.500 0.500
O1 0.000 0.500 0.500
F1 0.500 0.500 0.000
# Crystal system: tetragonal
# Formation energy from raw total energies, eV per atom: -1.638


# Sr2YAg2 PBE-GGA relaxed
data_Sr2YAg2
_cell_length_a 9.219
_cell_length_b 9.219
_cell_length_c 3.579
_cell_angle_alpha 90.00
_cell_angle_beta 90.00
_cell_angle_gamma 90.00
_symmetry_space_group_name_H-M 'P 4/m b m'
_symmetry_Int_Tables_number 127
_symmetry_space_group_name_Hall '-P 4 2ab'
loop_
_atom_site_label
_atom_site_fract_x
_atom_site_fract_y
_atom_site_fract_z
Sr1 0.137 0.363 0.000
Y1 0.000 0.000 0.000
Ag1 0.164 0.664 0.500
# Distance to the lowest polymorph of the same formula, meV per atom: 236.0
# Energy of formation from the pure elements, meV/atom: 53
# Crystal system: tetragonal


# Ac3CdAs2Pd9 PBE-GGA relaxed
data_Ac3CdAs2Pd9
_cell_length_a 6.3604
_cell_length_b 6.3604
_cell_length_c 10.2600
_cell_angle_alpha 90.00
_cell_angle_beta 90.00
_cell_angle_gamma 120.00
_symmetry_space_group_name_H-M 'P -3 m 1'
_symmetry_Int_Tables_number 164
_symmetry_space_group_name_Hall '-P 3 2"'
loop_
_atom_site_label
_atom_site_fract_x
_atom_site_fract_y
_atom_site_fract_z
Ac1 0.0000 0.0000 0.0000
Ac2 0.3333 0.6667 0.7207
Cd1 0.0000 0.0000 0.5000
As1 0.3333 0.6667 0.1648
Pd1 0.0000 0.5000 0.0000
Pd2 0.1438 0.2876 0.2805
# Energy of formation from the pure elements, meV/atom: -628
# Crystal system: trigonal


# LiCeBi3 PBE-GGA relaxed
data_LiCeBi3
_cell_length_a 19.499
_cell_length_b 4.631
_cell_length_c 6.529
_cell_angle_alpha 90.00
_cell_angle_beta 99.71
_cell_angle_gamma 90.00
_symmetry_space_group_name_H-M 'C 1 2/m 1'
_symmetry_Int_Tables_number 12
loop_
_symmetry_equiv_pos_as_xyz
'x,y,z'
'-x,-y,-z'
'-x,y,-z'
'x,-y,z'
'x+1/2,y+1/2,z'
'-x+1/2,-y+1/2,-z'
'-x+1/2,y+1/2,-z'
'x+1/2,-y+1/2,z'
loop_
_atom_site_label
_atom_site_fract_x
_atom_site_fract_y
_atom_site_fract_z
Li1 0.211 0.000 0.354
Ce1 0.104 0.500 0.015
Bi1 0.011 0.000 0.239
Bi2 0.124 0.500 0.529
Bi3 0.210 0.000 0.832
# Distance to the lowest polymorph of the same formula, meV per atom: 58.0
# Energy of formation from the pure elements, meV/atom: -430
# Crystal system: monoclinic


# KLi2Y PBE-GGA relaxed
data_KLi2Y
_cell_length_a 10.849
_cell_length_b 3.367
_cell_length_c 7.792
_cell_angle_alpha 90.00
_cell_angle_beta 94.02
_cell_angle_gamma 90.00
_symmetry_space_group_name_H-M 'C 1 2/m 1'
_symmetry_Int_Tables_number 12
loop_
_symmetry_equiv_pos_as_xyz
'x,y,z'
'-x,-y,-z'
'-x,y,-z'
'x,-y,z'
'x+1/2,y+1/2,z'
'-x+1/2,-y+1/2,-z'
'-x+1/2,y+1/2,-z'
'x+1/2,-y+1/2,z'
loop_
_atom_site_label
_atom_site_fract_x
_atom_site_fract_y
_atom_site_fract_z
K1 0.000 0.000 0.000
Li1 0.238 0.000 0.673
Y1 0.000 0.500 0.500
# Energy of formation from the pure elements, meV/atom: 339
# Crystal system: monoclinic


# Rb2CuHF6 PBE-GGA relaxed
data_Rb2CuHF6
_cell_length_a 5.312
_cell_length_b 5.312
_cell_length_c 9.904
_cell_angle_alpha 90.00
_cell_angle_beta 90.00
_cell_angle_gamma 90.00
_symmetry_space_group_name_H-M 'I 4/m m m'
_symmetry_Int_Tables_number 139
_symmetry_space_group_name_Hall '-I 4 2'
loop_
_atom_site_label
_atom_site_fract_x
_atom_site_fract_y
_atom_site_fract_z
Rb1 0.000 0.500 0.250
Cu1 0.000 0.000 0.000
H1 0.000 0.000 0.500
F1 0.000 0.000 0.188
F2 0.230 0.230 0.500
# Distance to the lowest polymorph of the same formula, meV per atom: 168.9
# Crystal system: tetragonal


# Sr4Br3O2 PBE-GGA relaxed
data_Sr4Br3O2
_cell_length_a 14.931
_cell_length_b 3.756
_cell_length_c 9.016
_cell_angle_alpha 90.00
_cell_angle_beta 103.04
_cell_angle_gamma 90.00
_symmetry_space_group_name_H-M 'C 1 2/m 1'
_symmetry_Int_Tables_number 12
loop_
_symmetry_equiv_pos_as_xyz
'x,y,z'
'-x,-y,-z'
'-x,y,-z'
'x,-y,z'
'x+1/2,y+1/2,z'
'-x+1/2,-y+1/2,-z'
'-x+1/2,y+1/2,-z'
'x+1/2,-y+1/2,z'
loop_
_atom_site_label
_atom_site_fract_x
_atom_site_fract_y
_atom_site_fract_z
Sr1 0.094 0.000 0.205
Sr2 0.179 0.500 0.601
Br1 0.000 0.000 0.500
Br2 0.093 0.500 0.902
O1 0.190 0.500 0.336
# Crystal system: monoclinic
# Formation energy from raw total energies, eV per atom: -2.148


# Th2HgPb4 PBE-GGA relaxed
data_Th2HgPb4
_cell_length_a 11.574
_cell_length_b 4.857
_cell_length_c 9.380
_cell_angle_alpha 90.00
_cell_angle_beta 122.03
_cell_angle_gamma 90.00
_symmetry_space_group_name_H-M 'C 1 2/m 1'
_symmetry_Int_Tables_number 12
loop_
_symmetry_equiv_pos_as_xyz
'x,y,z'
'-x,-y,-z'
'-x,y,-z'
'x,-y,z'
'x+1/2,y+1/2,z'
'-x+1/2,-y+1/2,-z'
'-x+1/2,y+1/2,-z'
'x+1/2,-y+1/2,z'
loop_
_atom_site_label
_atom_site_fract_x
_atom_site_fract_y
_atom_site_fract_z
Th1 0.183 0.000 0.154
Hg1 0.000 0.500 0.500
Pb1 0.037 0.500 0.860
Pb2 0.193 0.000 0.550
# Energy of formation from the pure elements, meV/atom: -59
# Crystal system: monoclinic


# Dy6TlIr PBE-GGA relaxed
data_Dy6TlIr
_cell_length_a 6.941
_cell_length_b 6.969
_cell_length_c 7.430
_cell_angle_alpha 90.30
_cell_angle_beta 117.47
_cell_angle_gamma 119.82
_symmetry_space_group_name_H-M 'P -1'
_symmetry_Int_Tables_number 2
loop_
_symmetry_equiv_pos_as_xyz
'x,y,z'
'-x,-y,-z'
loop_
_atom_site_label
_atom_site_fract_x
_atom_site_fract_y
_atom_site_fract_z
Dy1 0.043 0.081 0.256
Dy2 0.293 0.712 0.255
Dy3 0.322 0.536 0.745
Tl1 0.500 0.000 0.000
Ir1 0.500 0.500 0.500
# Energy of formation from the pure elements, meV/atom: -130
# Crystal system: triclinic


no.,density of states at the Fermi level (states/eV per cell),E (eV/atom)
1,86.9,-8.177
2,10.4,-4.652
3,8.0,-5.455
4,3.9,-4.579
5,10.0,-3.053
6,2.5,-5.247
7,27.5,-4.328
8,9.2,-2.509
9,6.0,-3.794
10,3.2,-4.555
11,6.5,-4.341
12,10.3,-4.985